Record 1
The following is a PBE calculation of crystalline U2Tl3NiTe6 at its relaxed geometry, from the Alexandria database.

Results
* total magnetic moment: 5.621 Bohr magnetons per cell
* D(E_F): 1.545 states/eV/atom
* energy: -4.8861 eV/atom
* energy relative to the elements, uncorrected: -0.36 eV per atom

Cell: 7.3947 7.3947 8.6650 Å, 98.47 98.47 119.65°
Positions (direct):
1 U 0.1621 0.8379 0.0000
2 U 0.8379 0.1621 0.0000
3 Tl 0.0000 0.0000 0.5000
4 Tl 0.3186 0.6814 0.5000
5 Tl 0.6814 0.3186 0.5000
6 Ni 0.5000 0.5000 0.0000
7 Te 0.1315 0.4373 0.8045
8 Te 0.2550 0.2550 0.2192
9 Te 0.4373 0.1315 0.8045
10 Te 0.5627 0.8685 0.1955
11 Te 0.7450 0.7450 0.7808
12 Te 0.8685 0.5627 0.1955

=====

Record 2
The following is a PBE calculation of crystalline Tl2VNiTe at its relaxed geometry, from the Alexandria database.

Results
* total magnetic moment: 2.877 Bohr magnetons per cell
* D(E_F): 0.683 states/eV/atom
* energy: -3.8257 eV/atom
* energy relative to the elements, uncorrected: 0.73 eV per atom

Cell: 5.4934 5.4934 4.5017 Å, 90.00 90.00 90.00°
Positions (direct):
1 Tl 0.0000 0.5000 0.0000
2 Tl 0.5000 0.0000 0.0000
3 V 0.0000 0.0000 0.0000
4 Ni 0.0000 0.0000 0.5000
5 Te 0.5000 0.5000 0.5000

=====

Record 3
The following is a PBE calculation of crystalline ZrTlNiTe3 at its relaxed geometry, from the Alexandria database.

Results
* total magnetic moment: 0.000 Bohr magnetons per cell
* D(E_F): 0.505 states/eV/atom
* energy: -4.9202 eV/atom
* energy relative to the elements, uncorrected: -0.57 eV per atom

Cell: 9.6190 3.9631 10.1738 Å, 90.00 114.03 90.00°
Positions (direct):
1 Zr 0.2033 0.2500 0.1737
2 Zr 0.7967 0.7500 0.8263
3 Tl 0.2666 0.7500 0.7554
4 Tl 0.7334 0.2500 0.2446
5 Ni 0.4098 0.7500 0.3956
6 Ni 0.5902 0.2500 0.6044
7 Te 0.0345 0.2500 0.8503
8 Te 0.2987 0.2500 0.4794
9 Te 0.4050 0.7500 0.1404
10 Te 0.5950 0.2500 0.8596
11 Te 0.7013 0.7500 0.5206
12 Te 0.9655 0.7500 0.1497